[1]
First-principles (PBE-GGA) data for an optimized crystal structure of LaTm2Th, as listed in Alexandria via LeMat-Bulk.

Summary:
ΔE_f	2.4	kJ per mole of atoms
D(E_F)	6.05	states/eV/f.u.
spin magnetization	0.0001	μB per atom
energy relative to the lowest polymorph listed for this composition	13.5	meV per atom
total DFT energy (no corrections)	-5.30	eV per atom

a = 3.5849 Å, b = 3.5849 Å, c = 34.7518 Å
α = 90.00°, β = 90.00°, γ = 120.00°
Space group R3m (No. 160, hexagonal axes)
One atom of each set of equivalent atoms:
1 La 0.0000 0.0000 0.0000 x3
2 Tm 0.0000 0.0000 0.5791 x3
3 Tm 0.0000 0.0000 0.7530 x3
4 Th 0.0000 0.0000 0.1660 x3


[2]
First-principles (PBE-GGA) data for an optimized crystal structure of NaLi2NiH6, as listed in Alexandria via LeMat-Bulk.

Summary:
D(E_F)	1.18	states/eV/f.u.
spin magnetization	0.0000	μB per atom
total DFT energy (no corrections)	-3.31	eV per atom

a = 4.5558 Å, b = 4.5558 Å, c = 5.6692 Å
α = 90.00°, β = 90.00°, γ = 120.00°
Space group P-3m1 (No. 164)
One atom of each set of equivalent atoms:
1 Na 0.0000 0.0000 0.0000 x1
2 Li 0.3333 0.6667 0.4247 x2
3 Ni 0.0000 0.0000 0.5000 x1
4 H 0.1603 0.3206 0.6633 x6


[3]
First-principles (PBE-GGA) data for an optimized crystal structure of GaHg2Sb4, as listed in Alexandria via LeMat-Bulk.

Summary:
D(E_F)	3.97	states/eV/f.u.
spin magnetization	0.0000	μB per atom
energy relative to the elements, uncorrected	0.428	eV per atom
total DFT energy (no corrections)	-2.45	eV per atom

a = 5.170 Å, b = 5.170 Å, c = 17.713 Å
α = 90.00°, β = 90.00°, γ = 90.00°
Space group I4/mmm (No. 139)
One atom of each set of equivalent atoms:
1 Ga 0.000 0.000 0.000 x2
2 Hg 0.000 0.000 0.396 x4
3 Sb 0.000 0.000 0.242 x4
4 Sb 0.000 0.500 0.000 x4


[4]
First-principles (PBE-GGA) data for an optimized crystal structure of Tb3NdY2S6, as listed in Alexandria via LeMat-Bulk.

Summary:
D(E_F)	4.95	states/eV/f.u.
spin magnetization	0.0000	μB per atom
energy relative to the elements, uncorrected	-2.010	eV per atom
total DFT energy (no corrections)	-6.71	eV per atom

a = 6.828 Å, b = 11.867 Å, c = 6.835 Å
α = 90.00°, β = 109.49°, γ = 90.00°
Space group C2/m (No. 12)
One atom of each set of equivalent atoms:
1 Tb 0.000 0.000 0.000 x2
2 Tb 0.000 0.337 0.000 x4
3 Nd 0.000 0.500 0.500 x2
4 Y 0.000 0.166 0.500 x4
5 S 0.242 0.000 0.752 x4
6 S 0.244 0.171 0.245 x8


[5]
First-principles (PBE-GGA) data for an optimized crystal structure of Li2AlIn, as listed in Alexandria via LeMat-Bulk.

Summary:
ΔE_f	4.6	kJ per mole of atoms
D(E_F)	2.11	states/eV/f.u.
spin magnetization	0.0000	μB per atom
total DFT energy (no corrections)	-2.53	eV per atom

a = 4.102 Å, b = 4.102 Å, c = 19.929 Å
α = 90.00°, β = 90.00°, γ = 90.00°
Space group I-42d (No. 122)
One atom of each set of equivalent atoms:
1 Li 0.241 0.250 0.125 x8
2 Al 0.000 0.000 0.000 x4
3 In 0.000 0.000 0.500 x4


[6]
First-principles (PBE-GGA) data for an optimized crystal structure of Mg7Si8O22F2, as listed in Alexandria via LeMat-Bulk.

Summary:
D(E_F)	0.00	states/eV/f.u.
spin magnetization	0.0000	μB per atom
energy relative to the elements, uncorrected	-2.875	eV per atom
total DFT energy (no corrections)	-7.17	eV per atom

a = 5.361 Å, b = 9.493 Å, c = 18.068 Å
α = 90.00°, β = 90.00°, γ = 90.00°
Space group Pnnm (No. 58)
One atom of each set of equivalent atoms:
1 Mg 0.000 0.000 0.000 x2
2 Mg 0.000 0.000 0.179 x4
3 Mg 0.000 0.500 0.241 x4
4 Mg 0.000 0.500 0.411 x4
5 Si 0.174 0.207 0.329 x8
6 Si 0.177 0.284 0.084 x8
7 O 0.054 0.652 0.135 x8
8 O 0.062 0.843 0.381 x8
9 O 0.147 0.342 0.000 x4
10 O 0.168 0.112 0.086 x8
11 O 0.171 0.380 0.325 x8
12 O 0.184 0.120 0.253 x8
13 F 0.165 0.397 0.500 x4


[7]
First-principles (PBE-GGA) data for an optimized crystal structure of Zn2AgPt, as listed in Alexandria via LeMat-Bulk.

Summary:
ΔE_f	7.5	kJ per mole of atoms
D(E_F)	1.62	states/eV/f.u.
spin magnetization	0.0000	μB per atom
total DFT energy (no corrections)	-2.78	eV per atom

a = 2.750 Å, b = 4.831 Å, c = 10.419 Å
α = 90.00°, β = 90.00°, γ = 90.00°
Space group Immm (No. 71)
One atom of each set of equivalent atoms:
1 Zn 0.000 0.000 0.241 x4
2 Ag 0.000 0.000 0.500 x2
3 Pt 0.000 0.000 0.000 x2


[8]
First-principles (PBE-GGA) data for an optimized crystal structure of CaHf2PCl, as listed in Alexandria via LeMat-Bulk.

Summary:
D(E_F)	7.07	states/eV/f.u.
spin magnetization	0.0000	μB per atom
energy relative to the elements, uncorrected	-0.015	eV per atom
total DFT energy (no corrections)	-5.85	eV per atom

a = 4.780 Å, b = 4.780 Å, c = 6.746 Å
α = 90.00°, β = 90.00°, γ = 90.00°
Space group P4/mmm (No. 123)
One atom of each set of equivalent atoms:
1 Ca 0.000 0.000 0.000 x1
2 Hf 0.000 0.500 0.500 x2
3 P 0.500 0.500 0.500 x1
4 Cl 0.500 0.500 0.000 x1


[9]
First-principles (PBE-GGA) data for an optimized crystal structure of In3Ga12Te5, as listed in Alexandria via LeMat-Bulk.

Summary:
D(E_F)	4.47	states/eV/f.u.
spin magnetization	0.0000	μB per atom
energy relative to the elements, uncorrected	0.029	eV per atom
total DFT energy (no corrections)	-2.98	eV per atom

a = 16.745 Å, b = 16.745 Å, c = 16.745 Å
α = 90.00°, β = 90.00°, γ = 90.00°
Space group Ia-3d (No. 230)
One atom of each set of equivalent atoms:
1 In 0.000 0.250 0.125 x24
2 Ga 0.007 0.077 0.659 x96
3 Te 0.000 0.000 0.000 x16
4 Te 0.000 0.250 0.375 x24


[10]
First-principles (PBE-GGA) data for an optimized crystal structure of CdB2RuN, as listed in Alexandria via LeMat-Bulk.

Summary:
D(E_F)	3.32	states/eV/f.u.
spin magnetization	0.0000	μB per atom
energy relative to the elements, uncorrected	1.533	eV per atom
total DFT energy (no corrections)	-4.84	eV per atom

a = 3.855 Å, b = 3.855 Å, c = 3.940 Å
α = 90.00°, β = 90.00°, γ = 90.00°
Space group P4/mmm (No. 123)
One atom of each set of equivalent atoms:
1 Cd 0.000 0.000 0.000 x1
2 B 0.000 0.500 0.500 x2
3 Ru 0.500 0.500 0.000 x1
4 N 0.500 0.500 0.500 x1


[11]
First-principles (PBE-GGA) data for an optimized crystal structure of Y6Ga2Pt, as listed in Alexandria via LeMat-Bulk.

Summary:
ΔE_f	-48.5	kJ per mole of atoms
D(E_F)	11.05	states/eV/f.u.
spin magnetization	0.0000	μB per atom
total DFT energy (no corrections)	-6.16	eV per atom

a = 6.187 Å, b = 8.241 Å, c = 11.242 Å
α = 90.00°, β = 120.47°, γ = 90.00°
Space group P2_1/c (No. 14)
One atom of each set of equivalent atoms:
1 Y 0.073 0.173 0.440 x4
2 Y 0.323 0.680 0.440 x4
3 Y 0.391 0.035 0.266 x4
4 Ga 0.182 0.124 0.751 x4
5 Pt 0.000 0.000 0.000 x2


[12]
First-principles (PBE-GGA) data for an optimized crystal structure of MgTlZnAg, as listed in Alexandria via LeMat-Bulk.

Summary:
ΔE_f	6.2	kJ per mole of atoms
D(E_F)	1.51	states/eV/f.u.
spin magnetization	0.0000	μB per atom
total DFT energy (no corrections)	-1.96	eV per atom

a = 6.877 Å, b = 6.877 Å, c = 6.877 Å
α = 90.00°, β = 90.00°, γ = 90.00°
Space group F-43m (No. 216)
One atom of each set of equivalent atoms:
1 Mg 0.000 0.000 0.000 x4
2 Tl 0.250 0.250 0.250 x4
3 Zn 0.000 0.000 0.500 x4
4 Ag 0.250 0.250 0.750 x4